Computed, not measured: crystalline ZnNiIO2 at its relaxed geometry at the GGA+U level of DFT.

Fermi-level density of states: 1.77 states/eV/cell
magnetic moment: 0.48 μB/atom
energy relative to the lowest polymorph listed for this composition: 9 meV per atom

abc: 3.8228 3.8228 6.3752
angles: 90.00 90.00 90.00
With the nearest neighbours (Å) after each atom.
Space group P4/mmm (No. 123)
Symmetry-distinct sites (fractional):
Zn1 0.0000 0.0000 0.0000 [1 per cell]  4 O 1.91
Ni1 0.5000 0.5000 0.5000 [1 per cell]  4 I 2.70
I1 0.0000 0.0000 0.5000 [1 per cell]  4 Ni 2.70
O1 0.0000 0.5000 0.0000 [2 per cell]  2 Zn 1.91